Material: MgSe2NCl
Method: DFT, GGA-PBE
State: relaxed Values from VASP.

```
&SYSTEM
  ibrav = 0, nat = 5, ntyp = 4
/
ATOMIC_SPECIES
Mg 24.30 Mg.upf
Se 78.96 Se.upf
N 14.01 N.upf
Cl 35.45 Cl.upf
ATOMIC_POSITIONS crystal
Mg 0.000 0.000 0.000
Se 0.000 0.500 0.000
Se 0.500 0.000 0.000
N 0.000 0.000 0.500
Cl 0.500 0.500 0.500
CELL_PARAMETERS angstrom
5.229 0.000 0.000
0.000 5.229 0.000
0.000 0.000 4.070
```

Computed properties:
* energy relative to the lowest polymorph listed for this composition: 0 meV per atom
* density of states at the Fermi level: 0.778 states/eV per atom
* crystal system: tetragonal
* formation energy from raw total energies: 837.5 meV/atom
* VASP energy: -2.910 eV/atom

***

Material: MgSeN2Cl
Method: DFT, GGA-PBE
State: relaxed Values from VASP.

```
&SYSTEM
  ibrav = 0, nat = 5, ntyp = 4
/
ATOMIC_SPECIES
Mg 24.30 Mg.upf
Se 78.96 Se.upf
N 14.01 N.upf
Cl 35.45 Cl.upf
ATOMIC_POSITIONS crystal
Mg 0.000 0.000 0.000
Se 0.000 0.000 0.500
N 0.000 0.500 0.000
N 0.500 0.000 0.000
Cl 0.500 0.500 0.500
CELL_PARAMETERS angstrom
4.135 0.000 0.000
0.000 4.135 0.000
0.000 0.000 5.855
```

Computed properties:
* energy relative to the lowest polymorph listed for this composition: 0 meV per atom
* density of states at the Fermi level: 0.474 states/eV per atom
* crystal system: tetragonal
* formation energy from raw total energies: 1330.2 meV/atom
* VASP energy: -3.385 eV/atom

***

Material: MgSeN2Cl
Method: DFT, GGA-PBE
State: relaxed Values from VASP.

```
&SYSTEM
  ibrav = 0, nat = 5, ntyp = 4
/
ATOMIC_SPECIES
Mg 24.30 Mg.upf
Se 78.96 Se.upf
N 14.01 N.upf
Cl 35.45 Cl.upf
ATOMIC_POSITIONS crystal
Mg 0.000 0.000 0.000
Se 0.500 0.500 0.000
N 0.000 0.500 0.500
N 0.500 0.000 0.500
Cl 0.500 0.500 0.500
CELL_PARAMETERS angstrom
4.027 0.000 0.000
0.000 4.027 0.000
0.000 0.000 5.220
```

Computed properties:
* energy relative to the lowest polymorph listed for this composition: 381 meV per atom
* density of states at the Fermi level: 0.555 states/eV per atom
* crystal system: tetragonal
* formation energy from raw total energies: 1711.1 meV/atom
* VASP energy: -3.004 eV/atom

***

Material: Mg2SeNCl
Method: DFT, GGA-PBE
State: relaxed Values from VASP.

```
&SYSTEM
  ibrav = 0, nat = 5, ntyp = 4
/
ATOMIC_SPECIES
Mg 24.30 Mg.upf
Se 78.96 Se.upf
N 14.01 N.upf
Cl 35.45 Cl.upf
ATOMIC_POSITIONS crystal
Mg 0.000 0.500 0.000
Mg 0.500 0.000 0.000
Se 0.000 0.000 0.000
N 0.500 0.500 0.500
Cl 0.000 0.000 0.500
CELL_PARAMETERS angstrom
5.058 0.000 0.000
0.000 5.058 0.000
0.000 0.000 5.448
```

Computed properties:
* density of states at the Fermi level: 0.407 states/eV per atom
* crystal system: tetragonal
* formation energy from raw total energies: 791.8 meV/atom
* VASP energy: -2.577 eV/atom

***

Material: MgTeN2Cl
Method: DFT, GGA-PBE
State: relaxed Values from VASP.

```
&SYSTEM
  ibrav = 0, nat = 5, ntyp = 4
/
ATOMIC_SPECIES
Mg 24.30 Mg.upf
Te 127.60 Te.upf
N 14.01 N.upf
Cl 35.45 Cl.upf
ATOMIC_POSITIONS crystal
Mg 0.000 0.000 0.000
Te 0.000 0.000 0.500
N 0.000 0.500 0.000
N 0.500 0.000 0.000
Cl 0.500 0.500 0.500
CELL_PARAMETERS angstrom
4.198 0.000 0.000
0.000 4.198 0.000
0.000 0.000 6.309
```

Computed properties:
* energy relative to the lowest polymorph listed for this composition: 0 meV per atom
* density of states at the Fermi level: 0.362 states/eV per atom
* crystal system: tetragonal
* formation energy from raw total energies: 1225.7 meV/atom
* VASP energy: -3.421 eV/atom

***

Material: MgTeN2Cl
Method: DFT, GGA-PBE
State: relaxed Values from VASP.

```
&SYSTEM
  ibrav = 0, nat = 5, ntyp = 4
/
ATOMIC_SPECIES
Mg 24.30 Mg.upf
Te 127.60 Te.upf
N 14.01 N.upf
Cl 35.45 Cl.upf
ATOMIC_POSITIONS crystal
Mg 0.000 0.000 0.000
Te 0.500 0.500 0.000
N 0.000 0.500 0.500
N 0.500 0.000 0.500
Cl 0.500 0.500 0.500
CELL_PARAMETERS angstrom
4.180 0.000 0.000
0.000 4.180 0.000
0.000 0.000 5.411
```

Computed properties:
* energy relative to the lowest polymorph listed for this composition: 564 meV per atom
* density of states at the Fermi level: 0.374 states/eV per atom
* crystal system: tetragonal
* formation energy from raw total energies: 1789.8 meV/atom
* VASP energy: -2.857 eV/atom

***

Material: MgTe2NCl
Method: DFT, GGA-PBE
State: relaxed Values from VASP.

```
&SYSTEM
  ibrav = 0, nat = 5, ntyp = 4
/
ATOMIC_SPECIES
Mg 24.30 Mg.upf
Te 127.60 Te.upf
N 14.01 N.upf
Cl 35.45 Cl.upf
ATOMIC_POSITIONS crystal
Mg 0.000 0.000 0.000
Te 0.000 0.500 0.000
Te 0.500 0.000 0.000
N 0.000 0.000 0.500
Cl 0.500 0.500 0.500
CELL_PARAMETERS angstrom
5.724 0.000 0.000
0.000 5.724 0.000
0.000 0.000 3.904
```

Computed properties:
* energy relative to the lowest polymorph listed for this composition: 0 meV per atom
* density of states at the Fermi level: 0.925 states/eV per atom
* crystal system: tetragonal
* formation energy from raw total energies: 707.3 meV/atom
* VASP energy: -2.903 eV/atom

***

Material: MgTe2NCl
Method: DFT, GGA-PBE
State: relaxed Values from VASP.

```
&SYSTEM
  ibrav = 0, nat = 5, ntyp = 4
/
ATOMIC_SPECIES
Mg 24.30 Mg.upf
Te 127.60 Te.upf
N 14.01 N.upf
Cl 35.45 Cl.upf
ATOMIC_POSITIONS crystal
Mg 0.000 0.000 0.000
Te 0.000 0.500 0.500
Te 0.500 0.000 0.500
N 0.500 0.500 0.000
Cl 0.500 0.500 0.500
CELL_PARAMETERS angstrom
6.265 0.000 0.000
0.000 6.265 0.000
0.000 0.000 3.290
```

Computed properties:
* energy relative to the lowest polymorph listed for this composition: 330 meV per atom
* density of states at the Fermi level: 0.569 states/eV per atom
* crystal system: tetragonal
* formation energy from raw total energies: 1037.7 meV/atom
* VASP energy: -2.572 eV/atom

***

Material: NaMgCl2
Method: DFT, GGA-PBE
State: relaxed Values from VASP.

```
&SYSTEM
  ibrav = 0, nat = 16, ntyp = 3
/
ATOMIC_SPECIES
Na 22.99 Na.upf
Mg 24.30 Mg.upf
Cl 35.45 Cl.upf
ATOMIC_POSITIONS crystal
Na 0.000 0.000 0.000
Na 0.000 0.500 0.250
Na 0.500 0.000 0.750
Na 0.500 0.500 0.500
Mg 0.000 0.000 0.500
Mg 0.000 0.500 0.750
Mg 0.500 0.000 0.250
Mg 0.500 0.500 0.000
Cl 0.226 0.250 0.625
Cl 0.250 0.726 0.875
Cl 0.250 0.774 0.375
Cl 0.274 0.250 0.125
Cl 0.726 0.750 0.125
Cl 0.750 0.226 0.375
Cl 0.750 0.274 0.875
Cl 0.774 0.750 0.625
CELL_PARAMETERS angstrom
6.246 0.000 0.000
0.000 6.246 0.000
0.000 0.000 12.805
```

Computed properties:
* energy relative to the lowest polymorph listed for this composition: 121 meV per atom
* density of states at the Fermi level: 0.101 states/eV per atom
* crystal system: tetragonal
* formation energy from raw total energies: -1207.6 meV/atom
* VASP energy: -2.859 eV/atom

***

Material: Na5MgCl8
Method: DFT, GGA-PBE
State: relaxed Values from VASP.

```
&SYSTEM
  ibrav = 0, nat = 14, ntyp = 3
/
ATOMIC_SPECIES
Na 22.99 Na.upf
Mg 24.30 Mg.upf
Cl 35.45 Cl.upf
ATOMIC_POSITIONS crystal
Na 0.000 0.000 0.000
Na 0.375 0.375 0.375
Na 0.375 0.375 0.876
Na 0.375 0.876 0.375
Na 0.876 0.375 0.375
Mg 0.750 0.750 0.750
Cl 0.113 0.629 0.629
Cl 0.134 0.134 0.134
Cl 0.134 0.134 0.598
Cl 0.134 0.598 0.134
Cl 0.598 0.134 0.134
Cl 0.629 0.113 0.629
Cl 0.629 0.629 0.113
Cl 0.629 0.629 0.629
CELL_PARAMETERS angstrom
0.000 5.723 5.723
5.723 0.000 5.723
5.723 5.723 0.000
```

Computed properties:
* energy relative to the lowest polymorph listed for this composition: 0 meV per atom
* density of states at the Fermi level: 1.496 states/eV per atom
* crystal system: cubic
* formation energy from raw total energies: -1572.7 meV/atom
* VASP energy: -3.213 eV/atom

***

Material: NaMg3Cl
Method: DFT, GGA-PBE
State: relaxed Values from VASP.

```
&SYSTEM
  ibrav = 0, nat = 5, ntyp = 3
/
ATOMIC_SPECIES
Na 22.99 Na.upf
Mg 24.30 Mg.upf
Cl 35.45 Cl.upf
ATOMIC_POSITIONS crystal
Na 0.000 0.000 0.000
Mg 0.000 0.500 0.500
Mg 0.500 0.000 0.500
Mg 0.500 0.500 0.000
Cl 0.500 0.500 0.500
CELL_PARAMETERS angstrom
5.285 0.000 0.000
0.000 5.285 0.000
0.000 0.000 5.285
```

Computed properties:
* energy relative to the lowest polymorph listed for this composition: 0 meV per atom
* density of states at the Fermi level: 0.429 states/eV per atom
* crystal system: cubic
* formation energy from raw total energies: 57.6 meV/atom
* VASP energy: -1.532 eV/atom

***

Material: Na5MgCl8
Method: DFT, GGA-PBE
State: relaxed Values from VASP.

```
&SYSTEM
  ibrav = 0, nat = 14, ntyp = 3
/
ATOMIC_SPECIES
Na 22.99 Na.upf
Mg 24.30 Mg.upf
Cl 35.45 Cl.upf
ATOMIC_POSITIONS crystal
Na 0.000 0.000 0.000
Na 0.115 0.590 0.958
Na 0.410 0.368 0.525
Na 0.632 0.157 0.042
Na 0.843 0.885 0.475
Mg 0.250 0.750 0.500
Cl 0.317 0.088 0.698
Cl 0.363 0.047 0.216
Cl 0.380 0.683 0.770
Cl 0.390 0.620 0.302
Cl 0.831 0.146 0.784
Cl 0.854 0.637 0.684
Cl 0.912 0.610 0.230
Cl 0.953 0.169 0.316
CELL_PARAMETERS angstrom
-4.761 4.761 4.075
4.761 -4.761 4.075
4.761 4.761 -4.075
```

Computed properties:
* energy relative to the lowest polymorph listed for this composition: 5 meV per atom
* density of states at the Fermi level: 1.370 states/eV per atom
* crystal system: tetragonal
* formation energy from raw total energies: -1567.7 meV/atom
* VASP energy: -3.208 eV/atom

***

Material: NaMg3Cl
Method: DFT, GGA-PBE
State: relaxed Values from VASP.

```
&SYSTEM
  ibrav = 0, nat = 5, ntyp = 3
/
ATOMIC_SPECIES
Na 22.99 Na.upf
Mg 24.30 Mg.upf
Cl 35.45 Cl.upf
ATOMIC_POSITIONS crystal
Na 0.000 0.000 0.000
Mg 0.000 0.000 0.500
Mg 0.000 0.500 0.000
Mg 0.500 0.000 0.000
Cl 0.500 0.500 0.500
CELL_PARAMETERS angstrom
5.685 0.000 0.000
0.000 5.685 0.000
0.000 0.000 5.685
```

Computed properties:
* energy relative to the lowest polymorph listed for this composition: 302 meV per atom
* density of states at the Fermi level: 0.261 states/eV per atom
* crystal system: cubic
* formation energy from raw total energies: 359.7 meV/atom
* VASP energy: -1.230 eV/atom

***

Material: Na3MgCl4
Method: DFT, GGA-PBE
State: relaxed Values from VASP.

```
&SYSTEM
  ibrav = 0, nat = 16, ntyp = 3
/
ATOMIC_SPECIES
Na 22.99 Na.upf
Mg 24.30 Mg.upf
Cl 35.45 Cl.upf
ATOMIC_POSITIONS crystal
Na 0.000 0.000 0.000
Na 0.000 0.500 0.250
Na 0.000 0.500 0.750
Na 0.500 0.000 0.250
Na 0.500 0.000 0.750
Na 0.500 0.500 0.500
Mg 0.000 0.000 0.500
Mg 0.500 0.500 0.000
Cl 0.000 0.000 0.245
Cl 0.000 0.000 0.755
Cl 0.000 0.500 0.000
Cl 0.000 0.500 0.500
Cl 0.500 0.000 0.000
Cl 0.500 0.000 0.500
Cl 0.500 0.500 0.255
Cl 0.500 0.500 0.745
CELL_PARAMETERS angstrom
5.728 0.000 0.000
0.000 5.728 0.000
0.000 0.000 11.625
```

Computed properties:
* density of states at the Fermi level: 0.190 states/eV per atom
* crystal system: tetragonal
* formation energy from raw total energies: -1518.0 meV/atom
* VASP energy: -3.135 eV/atom